## Tb2TmMg5 (PBE)

Data for Tb2TmMg5 after structural relaxation.

The density of states at the Fermi level comes out at 14.123 states/eV per cell. The formation energy comes out at -0.5 eV per formula unit. The final energy is -2.77 eV per atom. Its total magnetization is 0.30 μB/cell.

The structure belongs to space group I4/mmm (No. 139); the cell edges are 5.2315, 5.2315 and 15.2101 Å and the angles 90.00°, 90.00° and 90.00°. Symmetry generates all atoms from Tb at (0.0000, 0.0000, 0.2443), Tm at (0.0000, 0.0000, 0.5000), Mg at (0.0000, 0.0000, 0.0000) and Mg at (0.0000, 0.5000, 0.1174).


## Tb4TmMg (PBE)

Data for Tb4TmMg after structural relaxation.

The density of states at the Fermi level comes out at 7.675 states/eV per cell. The formation energy comes out at -0.1 eV per formula unit. The final energy is -4.11 eV per atom. Its total magnetization is 0.00 μB/cell. As for the polymorph energy (0 for the lowest one): 0 meV per atom.

The structure belongs to space group P4/mmm (No. 123); the cell edges are 3.5559, 3.5559 and 14.3391 Å and the angles 90.00°, 90.00° and 90.00°. Symmetry generates all atoms from Tb at (0.0000, 0.0000, 0.1545), Tb at (0.5000, 0.5000, 0.3267), Tm at (0.0000, 0.0000, 0.5000) and Mg at (0.5000, 0.5000, 0.0000).


## Tb2Tm7Mg (PBE)

Data for Tb2Tm7Mg after structural relaxation.

The density of states at the Fermi level comes out at 21.980 states/eV per cell. The formation energy comes out at 7.0 eV per formula unit. The final energy is -3.52 eV per atom. Its total magnetization is 0.00 μB/cell.

The structure belongs to space group Cmmm (No. 65); the cell edges are 8.5951, 16.3912 and 5.2318 Å and the angles 90.00°, 90.00° and 90.00°. Symmetry generates all atoms from Tb at (0.0000, 0.2049, 0.0000), Tm at (0.0000, 0.0000, 0.0000), Tm at (0.0000, 0.3017, 0.5000), Tm at (0.1777, 0.3939, 0.0000) and Mg at (0.0000, 0.5000, 0.5000).


## Tb2Tm2Mg5 (PBE)

Data for Tb2Tm2Mg5 after structural relaxation.

The density of states at the Fermi level comes out at 32.998 states/eV per cell. The formation energy comes out at 0.8 eV per formula unit. The final energy is -2.82 eV per atom. Its total magnetization is 0.00 μB/cell.

The structure belongs to space group Ima2 (No. 46); the cell edges are 13.9453, 11.2524 and 6.3155 Å and the angles 90.00°, 90.00° and 90.00°. Symmetry generates all atoms from Tb at (0.0000, 0.0000, 0.0000), Tb at (0.2500, 0.0104, 0.9381), Tm at (0.1229, 0.0042, 0.4713), Mg at (0.0606, 0.7474, 0.2776), Mg at (0.1445, 0.2422, 0.1918) and Mg at (0.2500, 0.7339, 0.0864).


## TbTmMg17 (PBE)

Data for TbTmMg17 after structural relaxation.

The density of states at the Fermi level comes out at 24.951 states/eV per cell. The formation energy comes out at -0.1 eV per formula unit. The final energy is -1.91 eV per atom. Its total magnetization is 0.00 μB/cell.

The structure belongs to space group R3m (No. 160, hexagonal axes); the cell edges are 10.1995, 10.1995 and 15.2291 Å and the angles 90.00°, 90.00° and 120.00°. Symmetry generates all atoms from Tb at (0.0000, 0.0000, 0.0000), Tm at (0.0000, 0.0000, 0.3437), Mg at (0.0000, 0.0000, 0.5715), Mg at (0.0000, 0.0000, 0.7702), Mg at (0.0071, 0.5036, 0.8226), Mg at (0.0285, 0.3607, 0.3383), Mg at (0.1681, 0.3361, 0.5058) and Mg at (0.1723, 0.3445, 0.8535).


## Tb3Tm2Mg3 (PBE)

Data for Tb3Tm2Mg3 after structural relaxation.

The density of states at the Fermi level comes out at 21.292 states/eV per cell. The formation energy comes out at -0.5 eV per formula unit. The final energy is -3.51 eV per atom. Its total magnetization is 0.00 μB/cell.

The structure belongs to space group Immm (No. 71); the cell edges are 3.7224, 5.4289 and 22.3128 Å and the angles 90.00°, 90.00° and 90.00°. Symmetry generates all atoms from Tb at (0.0000, 0.0000, 0.0000), Tb at (0.0000, 0.5000, 0.1264), Tm at (0.0000, 0.0000, 0.2354), Mg at (0.0000, 0.0000, 0.5000) and Mg at (0.0000, 0.5000, 0.3823).


## Tb8Tm6Mg (PBE)

Data for Tb8Tm6Mg after structural relaxation.

The density of states at the Fermi level comes out at 21.283 states/eV per cell. The formation energy comes out at 2.3 eV per formula unit. The final energy is -4.21 eV per atom. Its total magnetization is 0.00 μB/cell.

The structure belongs to space group P-3 (No. 147); the cell edges are 9.3343, 9.3343 and 6.2187 Å and the angles 90.00°, 90.00° and 120.00°. Symmetry generates all atoms from Tb at (0.0396, 0.7686, 0.3144), Tb at (0.3333, 0.6667, 0.3141), Tm at (0.0940, 0.6409, 0.8169) and Mg at (0.0000, 0.0000, 0.0000).


## TbTmMg14 (PBE)

Data for TbTmMg14 after structural relaxation.

The density of states at the Fermi level comes out at 6.710 states/eV per cell. The formation energy comes out at -0.4 eV per formula unit. The final energy is -1.99 eV per atom. Its total magnetization is 0.00 μB/cell.

The structure belongs to space group P4/mmm (No. 123); the cell edges are 6.9176, 6.9176 and 7.9796 Å and the angles 90.00°, 90.00° and 90.00°. Symmetry generates all atoms from Tb at (0.0000, 0.0000, 0.0000), Tm at (0.5000, 0.5000, 0.0000), Mg at (0.0000, 0.0000, 0.5000), Mg at (0.0000, 0.5000, 0.0000), Mg at (0.0000, 0.5000, 0.5000), Mg at (0.2511, 0.2511, 0.2605) and Mg at (0.5000, 0.5000, 0.5000).


## Tb8TmMg2 (PBE)

Data for Tb8TmMg2 after structural relaxation.

The density of states at the Fermi level comes out at 28.769 states/eV per cell. The formation energy comes out at 0.2 eV per formula unit. The final energy is -4.05 eV per atom. Its total magnetization is 0.00 μB/cell. As for the polymorph energy (0 for the lowest one): 0 meV per atom.

The structure belongs to space group C2/m (No. 12); the cell edges are 16.5363, 5.3447 and 8.4210 Å and the angles 90.00°, 116.03° and 90.00°. Symmetry generates all atoms from Tb at (0.0577, 0.0000, 0.2344), Tb at (0.0993, 0.5000, 0.9685), Tb at (0.1453, 0.0000, 0.6992), Tb at (0.1877, 0.5000, 0.4522), Tm at (0.0000, 0.5000, 0.5000) and Mg at (0.2274, 0.0000, 0.1266).


## TbTmMg4 (PBE)

Data for TbTmMg4 after structural relaxation.

The density of states at the Fermi level comes out at 11.986 states/eV per cell. The formation energy comes out at -0.2 eV per formula unit. The final energy is -2.62 eV per atom. Its total magnetization is 0.00 μB/cell. As for the polymorph energy (0 for the lowest one): 21 meV per atom.

The structure belongs to space group C2/m (No. 12); the cell edges are 13.7456, 3.4232 and 6.7750 Å and the angles 90.00°, 104.23° and 90.00°. Symmetry generates all atoms from Tb at (0.0000, 0.0000, 0.0000), Tm at (0.0000, 0.0000, 0.5000), Mg at (0.1740, 0.5000, 0.3388) and Mg at (0.1751, 0.5000, 0.8361).


## Tb4YTm2Mg (PBE)

Data for Tb4YTm2Mg after structural relaxation.

The density of states at the Fermi level comes out at 11.844 states/eV per cell. The formation energy comes out at 0.1 eV per formula unit. The final energy is -4.42 eV per atom. Its total magnetization is 0.00 μB/cell.

The structure belongs to space group P4/mmm (No. 123); the cell edges are 4.9729, 4.9729 and 9.8506 Å and the angles 90.00°, 90.00° and 90.00°. Symmetry generates all atoms from Tb at (0.0000, 0.5000, 0.2459), Y at (0.0000, 0.0000, 0.5000), Tm at (0.0000, 0.0000, 0.0000), Tm at (0.5000, 0.5000, 0.5000) and Mg at (0.5000, 0.5000, 0.0000).


## Tb2Y2TmMg (PBE)

Data for Tb2Y2TmMg after structural relaxation.

The density of states at the Fermi level comes out at 29.713 states/eV per cell. The formation energy comes out at 1.2 eV per formula unit. The final energy is -4.51 eV per atom. Its total magnetization is 0.00 μB/cell.

The structure belongs to space group Ibam (No. 72); the cell edges are 6.7109, 17.5480 and 6.3823 Å and the angles 90.00°, 90.00° and 90.00°. Symmetry generates all atoms from Tb at (0.1620, 0.1528, 0.0000), Y at (0.1605, 0.3483, 0.0000), Tm at (0.0000, 0.0000, 0.2500) and Mg at (0.0000, 0.5000, 0.2500).